[1]
Material: Y2CrOs
Method: DFT, PBE
State: relaxed

Properties
V	85	Å³/cell
total moment	4.014	μB/cell
formation energy	0.341	eV/atom
offset from the most stable computed form	306	meV/atom

Unit cell a=5.703 b=5.703 c=5.703 alpha=137.16 beta=137.16 gamma=62.19
Site moments in Bohr magnetons follow the coordinates.
Fractional positions:
Cr  0.500  0.500  0.000  3.44
Os  0.750  0.250  0.500  0.08
Y  0.000  0.000  0.000  0.05
Y  0.250  0.750  0.500  0.00

[2]
Material: ErTm3S
Method: DFT, PBE
State: relaxed

Properties
V	142	Å³/cell
total moment	1.281	μB/cell
E	-5.03	eV per atom

Unit cell a=5.220 b=5.220 c=5.220 alpha=90.00 beta=90.00 gamma=90.00
Site moments in Bohr magnetons follow the coordinates.
Fractional positions:
S  0.000  0.000  0.000  0.00
Tm  0.000  0.500  0.000  0.22
Tm  0.000  0.000  0.500  0.22
Tm  0.500  0.000  0.000  0.22
Er  0.500  0.500  0.500  0.23